Entry 1:
DFT (PBE) results for CaLaPb2 after structural relaxation.

Unit cell a=5.668 b=5.668 c=5.668 alpha=60.00 beta=60.00 gamma=60.00
Fractional coordinates of all 4 atoms:
Pb (0.000, 0.000, 0.000)
Pb (0.250, 0.250, 0.250)
Ca (0.500, 0.500, 0.500)
La (0.750, 0.750, 0.750)

Output
Energy of formation from the pure elements = -172 meV per atom
SG = F-43m
DOS(E_F) = 4.30 states/eV/cell
Total energy = -3.76 eV/atom
Total magnetic moment = 0.00 μB/cell



Entry 2:
DFT (PBE) results for PmAl2Si2 after structural relaxation.

Unit cell a=4.088 b=4.088 c=7.927 alpha=75.06 beta=75.06 gamma=60.00
Fractional coordinates of all 5 atoms:
Pm (0.000, 0.000, 0.000)
Al (0.218, 0.218, 0.346)
Al (0.782, 0.782, 0.654)
Si (0.584, 0.584, 0.249)
Si (0.416, 0.416, 0.751)

Output
SG = R-3m
DOS(E_F) = 1.94 states/eV/cell
Energy relative to the elements, uncorrected = -0.13 eV per atom
Total energy = -4.75 eV/atom
Total magnetic moment = 0.00 μB/cell



Entry 3:
DFT (PBE) results for Rb3Tl2Cl6 after structural relaxation.

Unit cell a=5.732 b=5.732 c=13.290 alpha=102.45 beta=102.45 gamma=90.00
Fractional coordinates of all 11 atoms:
Rb (0.000, 0.000, 0.000)
Rb (0.826, 0.826, 0.651)
Rb (0.174, 0.174, 0.349)
Tl (0.409, 0.409, 0.819)
Tl (0.591, 0.591, 0.181)
Cl (0.082, 0.582, 0.163)
Cl (0.582, 0.082, 0.163)
Cl (0.918, 0.418, 0.837)
Cl (0.418, 0.918, 0.837)
Cl (0.700, 0.700, 0.399)
Cl (0.300, 0.300, 0.601)

Output
SG = I4/mmm
DOS(E_F) = 2.97 states/eV/cell
Energy relative to the elements, uncorrected = -1.41 eV per atom
Total energy = -3.12 eV/atom
Total magnetic moment = 0.00 μB/cell



Entry 4:
DFT (PBE) results for MnFePb2 after structural relaxation.

Unit cell a=3.432 b=3.432 c=6.885 alpha=90.00 beta=90.00 gamma=90.00
Each line ends with the local moment (μB).
Fractional coordinates of all 4 atoms:
Fe (0.500, 0.500, 0.250)  2.50
Mn (0.500, 0.500, 0.750)  3.65
Pb (0.000, 0.000, 0.011)  -0.08
Pb (0.000, 0.000, 0.489)  -0.08

Output
Energy of formation from the pure elements = 599 meV per atom
SG = P4/mmm
DOS(E_F) = 4.72 states/eV/cell
Total energy = -5.66 eV/atom
Distance to the lowest polymorph of the same formula = 246 meV/atom
Total magnetic moment = 6.04 μB/cell